# Cs2LiErI6

A relaxed structure of Cs2LiErI6 (PBE, Alexandria via LeMat-Bulk).

abc: 8.515 8.515 15.012
angles: 73.52 73.52 60.00
Sites, in units of the cell vectors:
Cs  0.878  0.878  0.365
Cs  0.122  0.122  0.635
Cs  0.708  0.708  0.875
Cs  0.292  0.292  0.125
Li  0.000  0.000  0.000
Li  0.500  0.500  0.500
Er  0.585  0.585  0.246
Er  0.415  0.415  0.754
I  0.870  0.379  0.372
I  0.379  0.870  0.372
I  0.379  0.379  0.372
I  0.130  0.621  0.628
I  0.621  0.130  0.628
I  0.621  0.621  0.628
I  0.708  0.207  0.877
I  0.207  0.708  0.877
I  0.207  0.207  0.877
I  0.292  0.793  0.123
I  0.793  0.292  0.123
I  0.793  0.793  0.123

**Density of states at the Fermi level**: 0.0 states/eV/cell
**V**: 44.529 A^3/atom
**Space-group type**: R-3m
**ΔE_f (raw)**: -1439 meV/atom